1.
Entry from OQMD via LeMat-Bulk: crystalline TaSe3 at its relaxed geometry (GGA-PBE). Values from VASP.

```
&SYSTEM
  ibrav = 0, nat = 24, ntyp = 2
/
ATOMIC_SPECIES
Ta 180.95 Ta.upf
Se 78.96 Se.upf
ATOMIC_POSITIONS angstrom
Ta -1.5907 0.8756 5.6970
Ta 3.2716 0.8756 0.5726
Ta 0.3811 0.8756 10.5337
Ta 4.8500 2.6268 4.3506
Ta 1.9595 2.6268 14.3118
Ta 6.8218 2.6268 9.1874
Se -0.7164 2.6268 3.9167
Se -1.6205 0.8756 8.4471
Se 1.3438 2.6268 1.1214
Se -2.8538 2.6268 13.7393
Se -1.5170 2.6268 11.1391
Se 0.3655 2.6268 6.2185
Se 3.1142 0.8756 3.3182
Se 1.2816 2.6268 8.7654
Se 0.1547 0.8756 13.4971
Se 5.0764 2.6268 1.3872
Se 3.9495 0.8756 6.1190
Se 2.1170 2.6268 11.5662
Se 4.8657 0.8756 8.6659
Se 6.7481 0.8756 3.7453
Se 8.0849 0.8756 1.1451
Se 3.8873 0.8756 13.7629
Se 6.8516 2.6268 6.4373
Se 5.9475 0.8756 10.9676
CELL_PARAMETERS angstrom
10.3015 0.0000 0.0000
0.0000 3.5024 0.0000
-5.0704 0.0000 14.8844
```

Summary:
E_tot: -24.88 eV per formula unit

=====

2.
Entry from OQMD via LeMat-Bulk: crystalline Ta2Se5 at its relaxed geometry (GGA-PBE). Values from VASP.

```
&SYSTEM
  ibrav = 0, nat = 14, ntyp = 2
/
ATOMIC_SPECIES
Ta 180.95 Ta.upf
Se 78.96 Se.upf
ATOMIC_POSITIONS angstrom
Ta 4.4618 1.7902 4.4788
Ta 8.8087 1.7902 5.5158
Ta 5.2832 -1.7902 1.1472
Ta 9.6300 -1.7902 2.1843
Se 0.0238 0.5721 6.4152
Se 0.8452 -0.5721 3.0836
Se 4.2030 0.6185 2.2511
Se 3.3817 -0.6185 5.5826
Se 6.6353 0.5905 4.9973
Se 7.4566 -0.5905 1.6658
Se 10.7102 0.6185 1.0805
Se 9.8888 -0.6185 4.4120
Se 13.2467 0.5721 3.5794
Se 14.0680 -0.5721 0.2479
CELL_PARAMETERS angstrom
7.8673 -3.2759 0.0000
7.8673 3.2759 0.0000
-1.6427 0.0000 6.6631
```

Summary:
E_tot: -44.79 eV per formula unit

=====

3.
Entry from OQMD via LeMat-Bulk: crystalline TaSe2 at its relaxed geometry (GGA-PBE). Values from VASP.

```
&SYSTEM
  ibrav = 0, nat = 12, ntyp = 2
/
ATOMIC_SPECIES
Ta 180.95 Ta.upf
Se 78.96 Se.upf
ATOMIC_POSITIONS angstrom
Ta 0.0000 0.0000 0.0000
Ta 0.0000 8.4999 2.9545
Ta 1.7363 0.0000 2.9545
Ta 1.7363 8.4999 0.0000
Se 0.0000 1.6625 3.9944
Se 0.0000 6.8077 0.9670
Se 0.0000 10.1921 0.9670
Se 0.0000 15.3373 3.9944
Se 1.7363 1.6922 0.9670
Se 1.7363 6.8374 3.9944
Se 1.7363 10.1625 3.9944
Se 1.7363 15.3076 0.9670
CELL_PARAMETERS angstrom
3.4725 0.0000 0.0000
0.0000 16.9998 0.0000
0.0000 0.0000 6.0170
```

Summary:
E_tot: -21.27 eV per formula unit

=====

4.
Entry from OQMD via LeMat-Bulk: crystalline TaSe2 at its relaxed geometry (GGA-PBE). Values from VASP.

```
&SYSTEM
  ibrav = 0, nat = 12, ntyp = 2
/
ATOMIC_SPECIES
Ta 180.95 Ta.upf
Se 78.96 Se.upf
ATOMIC_POSITIONS angstrom
Ta 0.0000 0.0000 0.0000
Ta 0.0000 3.1872 3.1872
Ta 3.1872 0.0000 3.1872
Ta 3.1872 3.1872 0.0000
Se 1.5936 1.5936 1.5936
Se 1.5936 1.5936 4.7808
Se 1.5936 4.7808 1.5936
Se 1.5936 4.7808 4.7808
Se 4.7808 1.5936 1.5936
Se 4.7808 1.5936 4.7808
Se 4.7808 4.7808 1.5936
Se 4.7808 4.7808 4.7808
CELL_PARAMETERS angstrom
6.3744 0.0000 0.0000
0.0000 6.3744 0.0000
0.0000 0.0000 6.3744
```

Summary:
E_tot: -19.58 eV per formula unit

=====

5.
Entry from OQMD via LeMat-Bulk: crystalline Ta2Se at its relaxed geometry (GGA-PBE). Values from VASP.

```
&SYSTEM
  ibrav = 0, nat = 6, ntyp = 2
/
ATOMIC_SPECIES
Ta 180.95 Ta.upf
Se 78.96 Se.upf
ATOMIC_POSITIONS angstrom
Ta 0.0000 0.0000 0.0000
Ta 2.7832 2.7832 0.0000
Ta 2.7832 0.0000 2.7832
Ta 0.0000 2.7832 2.7832
Se 1.3916 1.3916 1.3916
Se 9.7413 9.7413 9.7413
CELL_PARAMETERS angstrom
0.0000 5.5665 5.5665
5.5665 0.0000 5.5665
5.5665 5.5665 0.0000
```

Summary:
E_tot: -17.97 eV per formula unit

=====

6.
Entry from OQMD via LeMat-Bulk: crystalline Ta2Se at its relaxed geometry (GGA-PBE). Values from VASP.

```
&SYSTEM
  ibrav = 0, nat = 6, ntyp = 2
/
ATOMIC_SPECIES
Ta 180.95 Ta.upf
Se 78.96 Se.upf
ATOMIC_POSITIONS angstrom
Ta 0.0000 0.0000 0.0000
Ta 1.9537 1.9537 0.0000
Ta 1.9537 0.0000 1.9537
Ta 0.0000 1.9537 1.9537
Se 2.9306 2.9306 2.9306
Se 4.8843 4.8843 4.8843
CELL_PARAMETERS angstrom
0.0000 3.9074 3.9074
3.9074 0.0000 3.9074
3.9074 3.9074 0.0000
```

Summary:
E_tot: -25.18 eV per formula unit

=====

7.
Entry from OQMD via LeMat-Bulk: crystalline TaSe2 at its relaxed geometry (GGA-PBE). Values from VASP.

```
&SYSTEM
  ibrav = 0, nat = 12, ntyp = 2
/
ATOMIC_SPECIES
Ta 180.95 Ta.upf
Se 78.96 Se.upf
ATOMIC_POSITIONS angstrom
Ta 0.0000 0.0000 0.0000
Ta 0.0000 11.2000 3.0045
Ta 1.7321 0.0000 2.9472
Ta 1.7321 11.2000 5.9517
Se 0.0000 1.6918 1.9794
Se 0.0000 9.5082 4.9839
Se 0.0000 12.8917 4.9839
Se 0.0000 20.7082 1.9794
Se 1.7321 1.6610 4.9737
Se 1.7321 9.5389 1.9692
Se 1.7321 12.8610 1.9692
Se 1.7321 20.7389 4.9737
CELL_PARAMETERS angstrom
3.4641 0.0000 0.0000
0.0000 22.4000 0.0000
0.0000 0.0000 6.0091
```

Summary:
E_tot: -21.27 eV per formula unit

=====

8.
Entry from OQMD via LeMat-Bulk: crystalline TaSe2 at its relaxed geometry (GGA-PBE). Values from VASP.

```
&SYSTEM
  ibrav = 0, nat = 6, ntyp = 2
/
ATOMIC_SPECIES
Ta 180.95 Ta.upf
Se 78.96 Se.upf
ATOMIC_POSITIONS angstrom
Ta 1.3876 1.3876 1.3876
Ta 9.7133 9.7133 9.7133
Se 0.0000 0.0000 0.0000
Se 2.7752 2.7752 0.0000
Se 2.7752 0.0000 2.7752
Se 0.0000 2.7752 2.7752
CELL_PARAMETERS angstrom
0.0000 5.5505 5.5505
5.5505 0.0000 5.5505
5.5505 5.5505 0.0000
```

Summary:
E_tot: -19.46 eV per formula unit

=====

9.
Entry from OQMD via LeMat-Bulk: crystalline TaSe2 at its relaxed geometry (GGA-PBE). Values from VASP.

```
&SYSTEM
  ibrav = 0, nat = 9, ntyp = 2
/
ATOMIC_SPECIES
Ta 180.95 Ta.upf
Se 78.96 Se.upf
ATOMIC_POSITIONS angstrom
Ta 0.0000 0.0000 0.0000
Ta 0.0000 2.0081 13.2241
Ta 1.7391 1.0041 6.6120
Se 0.0000 0.0000 4.9409
Se 0.0000 0.0000 14.8953
Se 0.0000 2.0081 8.2832
Se 0.0000 2.0081 18.1650
Se 1.7391 1.0041 1.6712
Se 1.7391 1.0041 11.5529
CELL_PARAMETERS angstrom
3.4782 0.0000 0.0000
-1.7391 3.0122 0.0000
0.0000 0.0000 19.8361
```

Summary:
E_tot: -21.20 eV per formula unit

=====

10.
Entry from OQMD via LeMat-Bulk: crystalline Ta3Se4 at its relaxed geometry (GGA-PBE). Values from VASP.

```
&SYSTEM
  ibrav = 0, nat = 14, ntyp = 2
/
ATOMIC_SPECIES
Ta 180.95 Ta.upf
Se 78.96 Se.upf
ATOMIC_POSITIONS angstrom
Ta -2.0628 5.4249 0.8596
Ta 1.3954 4.2688 0.8596
Ta 4.3946 0.9260 2.5788
Ta 0.6675 7.8417 0.8596
Ta 3.6666 4.4989 2.5788
Ta 7.1248 3.3428 2.5788
Se -1.0782 2.9852 0.8596
Se -1.9377 8.2088 0.8596
Se 0.0000 5.8451 2.5788
Se 2.0461 2.4263 2.5788
Se 3.0159 6.3414 0.8596
Se 5.0620 2.9226 0.8596
Se 6.9997 0.5589 2.5788
Se 6.1402 5.7825 2.5788
CELL_PARAMETERS angstrom
10.1240 0.0000 0.0000
-5.0620 8.7677 0.0000
0.0000 0.0000 3.4384
```

Summary:
E_tot: -54.56 eV per formula unit

=====

11.
Entry from OQMD via LeMat-Bulk: crystalline TaSe2 at its relaxed geometry (GGA-PBE). Values from VASP.

```
&SYSTEM
  ibrav = 0, nat = 6, ntyp = 2
/
ATOMIC_SPECIES
Ta 180.95 Ta.upf
Se 78.96 Se.upf
ATOMIC_POSITIONS angstrom
Ta 0.9627 0.9627 0.9627
Ta 6.7389 6.7389 6.7389
Se 3.8508 1.9254 1.9254
Se 1.9254 3.8508 1.9254
Se 1.9254 1.9254 3.8508
Se 3.8508 3.8508 3.8508
CELL_PARAMETERS angstrom
0.0000 3.8508 3.8508
3.8508 0.0000 3.8508
3.8508 3.8508 0.0000
```

Summary:
E_tot: -15.46 eV per formula unit

=====

12.
Entry from OQMD via LeMat-Bulk: crystalline Ta2Se at its relaxed geometry (GGA-PBE). Values from VASP.

```
&SYSTEM
  ibrav = 0, nat = 12, ntyp = 2
/
ATOMIC_SPECIES
Ta 180.95 Ta.upf
Se 78.96 Se.upf
ATOMIC_POSITIONS angstrom
Ta 1.5322 1.5322 1.5322
Ta 1.5322 1.5322 4.5965
Ta 1.5322 4.5965 1.5322
Ta 1.5322 4.5965 4.5965
Ta 4.5965 1.5322 1.5322
Ta 4.5965 1.5322 4.5965
Ta 4.5965 4.5965 1.5322
Ta 4.5965 4.5965 4.5965
Se 0.0000 0.0000 0.0000
Se 0.0000 3.0643 3.0643
Se 3.0643 0.0000 3.0643
Se 3.0643 3.0643 0.0000
CELL_PARAMETERS angstrom
6.1287 0.0000 0.0000
0.0000 6.1287 0.0000
0.0000 0.0000 6.1287
```

Summary:
E_tot: -25.54 eV per formula unit